# 1
A plane-wave DFT calculation with PBE-GGA was carried out for an optimized crystal structure of RbH5F4.

Cell: 5.990 6.916 5.951 Å, 90.00 90.00 90.00°
Fractional positions:
Rb 0.250 0.250 0.062
Rb 0.750 0.750 0.938
H 0.003 0.572 0.493
H 0.003 0.928 0.493
H 0.250 0.750 0.855
H 0.497 0.572 0.493
H 0.497 0.928 0.493
H 0.503 0.072 0.507
H 0.503 0.428 0.507
H 0.750 0.250 0.145
H 0.997 0.072 0.507
H 0.997 0.428 0.507
F 0.008 0.250 0.523
F 0.250 0.585 0.858
F 0.250 0.915 0.858
F 0.492 0.250 0.523
F 0.508 0.750 0.477
F 0.750 0.085 0.142
F 0.750 0.415 0.142
F 0.992 0.750 0.477



# 2
A plane-wave DFT calculation with PBE-GGA was carried out for an optimized crystal structure of Rb4H3F.

Cell: 5.936 5.936 5.936 Å, 90.00 90.00 90.00°
Fractional positions:
Rb 0.000 0.000 0.000
Rb 0.000 0.500 0.500
Rb 0.500 0.000 0.500
Rb 0.500 0.500 0.000
H 0.000 0.000 0.500
H 0.000 0.500 0.000
H 0.500 0.000 0.000
F 0.500 0.500 0.500



# 3
A plane-wave DFT calculation with PBE-GGA was carried out for an optimized crystal structure of Rb4HF2.

Cell: 8.370 8.370 8.370 Å, 141.36 141.36 55.80°
Fractional positions:
Rb 0.000 0.500 0.500
Rb 0.216 0.216 0.000
Rb 0.500 0.000 0.500
Rb 0.784 0.784 0.000
H 0.000 0.000 0.000
F 0.391 0.391 0.000
F 0.609 0.609 0.000



# 4
A plane-wave DFT calculation with PBE-GGA was carried out for an optimized crystal structure of RbHF2.

Cell: 4.519 4.519 4.519 Å, 60.00 60.00 60.00°
Fractional positions:
Rb 0.000 0.000 0.000
H 0.500 0.500 0.500
F 0.250 0.250 0.250
F 0.750 0.750 0.750



# 5
A plane-wave DFT calculation with PBE-GGA was carried out for an optimized crystal structure of Rb4H3F2.

Cell: 8.516 8.516 7.237 Å, 101.99 101.99 61.73°
Fractional positions:
Rb 0.022 0.724 0.505
Rb 0.243 0.468 0.977
Rb 0.276 0.978 0.995
Rb 0.468 0.243 0.477
Rb 0.532 0.757 0.523
Rb 0.724 0.022 0.005
Rb 0.757 0.532 0.023
Rb 0.978 0.276 0.495
H 0.104 0.851 0.197
H 0.149 0.896 0.303
H 0.384 0.616 0.750
H 0.616 0.384 0.250
H 0.851 0.104 0.697
H 0.896 0.149 0.803
F 0.119 0.397 0.269
F 0.397 0.119 0.769
F 0.603 0.881 0.231
F 0.881 0.603 0.731



# 6
A plane-wave DFT calculation with PBE-GGA was carried out for an optimized crystal structure of Rb3H2F6.

Cell: 10.972 10.972 10.972 Å, 156.87 156.87 32.95°
Fractional positions:
Rb 0.000 0.000 0.000
Rb 0.170 0.170 0.000
Rb 0.830 0.830 0.000
H 0.359 0.359 0.000
H 0.641 0.641 0.000
F 0.095 0.595 0.500
F 0.314 0.314 0.000
F 0.405 0.905 0.500
F 0.595 0.095 0.500
F 0.686 0.686 0.000
F 0.905 0.405 0.500



# 7
A plane-wave DFT calculation with PBE-GGA was carried out for an optimized crystal structure of Rb12H3F5.

Cell: 15.840 15.840 15.840 Å, 109.47 109.47 109.47°
Fractional positions:
Rb 0.020 0.200 0.126
Rb 0.020 0.319 0.894
Rb 0.075 0.700 0.681
Rb 0.075 0.874 0.394
Rb 0.106 0.626 0.425
Rb 0.106 0.980 0.681
Rb 0.126 0.020 0.200
Rb 0.126 0.606 0.925
Rb 0.181 0.200 0.575
Rb 0.181 0.480 0.606
Rb 0.200 0.126 0.020
Rb 0.200 0.575 0.181
Rb 0.300 0.319 0.925
Rb 0.300 0.480 0.374
Rb 0.319 0.894 0.020
Rb 0.319 0.925 0.300
Rb 0.374 0.300 0.480
Rb 0.374 0.575 0.894
Rb 0.394 0.075 0.874
Rb 0.394 0.819 0.520
Rb 0.425 0.106 0.626
Rb 0.425 0.819 0.800
Rb 0.480 0.374 0.300
Rb 0.480 0.606 0.181
Rb 0.520 0.394 0.819
Rb 0.520 0.626 0.700
Rb 0.575 0.181 0.200
Rb 0.575 0.894 0.374
Rb 0.606 0.181 0.480
Rb 0.606 0.925 0.126
Rb 0.626 0.425 0.106
Rb 0.626 0.700 0.520
Rb 0.681 0.075 0.700
Rb 0.681 0.106 0.980
Rb 0.700 0.520 0.626
Rb 0.700 0.681 0.075
Rb 0.800 0.425 0.819
Rb 0.800 0.874 0.980
Rb 0.819 0.520 0.394
Rb 0.819 0.800 0.425
Rb 0.874 0.394 0.075
Rb 0.874 0.980 0.800
Rb 0.894 0.020 0.319
Rb 0.894 0.374 0.575
Rb 0.925 0.126 0.606
Rb 0.925 0.300 0.319
Rb 0.980 0.681 0.106
Rb 0.980 0.800 0.874
H 0.125 0.250 0.375
H 0.125 0.375 0.750
H 0.250 0.375 0.125
H 0.250 0.875 0.625
H 0.375 0.125 0.250
H 0.375 0.750 0.125
H 0.625 0.250 0.875
H 0.625 0.875 0.750
H 0.750 0.125 0.375
H 0.750 0.625 0.875
H 0.875 0.625 0.250
H 0.875 0.750 0.625
F 0.000 0.000 0.000
F 0.000 0.000 0.500
F 0.000 0.500 0.000
F 0.000 0.500 0.500
F 0.125 0.750 0.875
F 0.125 0.875 0.250
F 0.250 0.125 0.875
F 0.250 0.625 0.375
F 0.375 0.250 0.625
F 0.375 0.625 0.750
F 0.500 0.000 0.000
F 0.500 0.000 0.500
F 0.500 0.500 0.000
F 0.500 0.500 0.500
F 0.625 0.375 0.250
F 0.625 0.750 0.375
F 0.750 0.375 0.625
F 0.750 0.875 0.125
F 0.875 0.125 0.750
F 0.875 0.250 0.125



# 8
A plane-wave DFT calculation with PBE-GGA was carried out for an optimized crystal structure of RbHF6.

Cell: 5.577 5.577 5.546 Å, 117.45 117.45 94.21°
Fractional positions:
Rb 0.000 0.000 0.000
H 0.500 0.500 0.000
F 0.072 0.446 0.612
F 0.318 0.318 0.928
F 0.446 0.072 0.612
F 0.554 0.928 0.388
F 0.682 0.682 0.072
F 0.928 0.554 0.388



Table of DOS(E_F) (states/eV/atom), in record order: 0.00, 0.00, 0.28, 2.67, 0.15, 0.65, 0.36, 0.00
Table of E_tot (eV per atom), in record order: -3.60, -2.77, -2.92, -2.82, -3.08, -3.86, -2.74, -3.08
Table of ρ (g cm⁻³), in record order: 2.2, 2.9, 2.8, 3.2, 2.8, 3.0, 2.4, 2.6